1.
This record from the Alexandria database describes a geometry-optimized RbHfZnS2 structure. The functional is PBE.

Properties
SG = P4/mmm
Calculated volume = 35.401 A^3/atom
Calculated total energy = -4.39 eV/atom
D(E_F) = 1.15 states/eV/f.u.

a = 4.9639 Å, b = 7.1836 Å, c = 4.9639 Å
α = 90.00°, β = 90.00°, γ = 90.00°
With the nearest neighbours (Å) after each atom.
Fractional coordinates of all 5 atoms:
Zn  0.5000  0.5000  0.5000  4 Rb 3.51
S  0.0000  0.0000  0.5000  2 Hf 2.48
S  0.5000  0.0000  0.0000  2 Hf 2.48
Hf  0.0000  0.0000  0.0000  4 S 2.48
Rb  0.0000  0.5000  0.0000  4 Zn 3.51, 2 Hf 3.59

2.
This record from the Alexandria database describes a geometry-optimized Rb2HfZrS structure. The functional is PBE.

Properties
SG = P4/mmm
Calculated volume = 51.317 A^3/atom
Calculated total energy = -3.86 eV/atom
D(E_F) = 6.17 states/eV/f.u.

a = 7.3158 Å, b = 4.7942 Å, c = 7.3158 Å
α = 90.00°, β = 90.00°, γ = 90.00°
With the nearest neighbours (Å) after each atom.
Fractional coordinates of all 5 atoms:
S  0.0000  0.5000  0.0000  2 Zr 2.40
Rb  0.0000  0.0000  0.5000  2 Zr 3.66
Rb  0.5000  0.0000  0.0000  2 Zr 3.66
Hf  0.5000  0.5000  0.5000  8 Rb 4.37, 2 Hf 4.79
Zr  0.0000  0.0000  0.0000  2 S 2.40

3.
This record from the Alexandria database describes a geometry-optimized Rb3HfZr3S8 structure. The functional is PBE.

Properties
SG = C2/m
Calculated volume = 25.294 A^3/atom
Calculated total energy = -6.30 eV/atom
D(E_F) = 7.00 states/eV/f.u.

a = 7.4338 Å, b = 7.4252 Å, c = 9.0212 Å
α = 114.26°, β = 90.00°, γ = 120.04°
With the nearest neighbours (Å) after each atom.
Fractional coordinates of all 15 atoms:
Zr  0.5000  0.5000  0.5000  6 S 2.62-2.63
Zr  0.0000  0.5000  0.5000  6 S 2.62-2.63
Zr  0.5000  0.0000  0.5000  6 S 2.62-2.63
S  0.2692  0.5384  0.3083  3 Zr 2.63
S  0.7725  0.0392  0.3121  1 Hf 2.59, 2 Zr 2.62
S  0.7723  0.5447  0.3122  1 Hf 2.59, 2 Zr 2.62
S  0.2275  0.9608  0.6879  1 Hf 2.59, 2 Zr 2.62
S  0.2667  0.0392  0.3121  1 Hf 2.59, 2 Zr 2.62
S  0.2277  0.4553  0.6878  1 Hf 2.59, 2 Zr 2.62
S  0.7333  0.9608  0.6879  1 Hf 2.59, 2 Zr 2.62
S  0.7308  0.4616  0.6917  3 Zr 2.63
Rb  0.0000  0.0000  0.0000  6 S 3.25-3.27
Rb  0.0000  0.5000  0.0000  6 S 3.26-3.27
Rb  0.5000  0.5000  0.0000  6 S 3.26-3.27
Hf  0.0000  0.0000  0.5000  6 S 2.59

4.
This record from the Alexandria database describes a geometry-optimized Rb3HfSb structure. The functional is PBE.

Properties
SG = Pm-3m
Calculated volume = 69.010 A^3/atom
Calculated total energy = -2.44 eV/atom
D(E_F) = 0.81 states/eV/f.u.

a = 7.0139 Å, b = 7.0139 Å, c = 7.0139 Å
α = 90.00°, β = 90.00°, γ = 90.00°
With the nearest neighbours (Å) after each atom.
Fractional coordinates of all 5 atoms:
Rb  0.5000  0.0000  0.0000  2 Sb 3.51
Rb  0.0000  0.5000  0.0000  2 Sb 3.51
Rb  0.0000  0.0000  0.5000  2 Sb 3.51
Hf  0.5000  0.5000  0.5000  12 Rb 4.96
Sb  0.0000  0.0000  0.0000  6 Rb 3.51

5.
This record from the Alexandria database describes a geometry-optimized RbHf2Sb structure. The functional is PBE.

Properties
SG = I-42d
Calculated volume = 37.613 A^3/atom
Calculated total energy = -5.51 eV/atom
D(E_F) = 3.92 states/eV/f.u.

a = 5.3704 Å, b = 5.3704 Å, c = 11.1028 Å
α = 76.00°, β = 76.00°, γ = 90.00°
With the nearest neighbours (Å) after each atom.
Fractional coordinates of all 8 atoms:
Hf  0.8489  0.1250  0.2500  2 Hf 2.70, 2 Sb 2.94
Hf  0.8750  0.0989  0.7500  2 Hf 2.70, 2 Sb 2.94
Hf  0.9011  0.6250  0.2500  2 Hf 2.70, 2 Sb 2.94
Hf  0.3750  0.1511  0.7500  2 Hf 2.70, 2 Sb 2.94
Rb  0.2500  0.7500  0.5000  4 Sb 3.80, 8 Hf 3.88-4.07
Rb  0.5000  0.5000  0.0000  4 Sb 3.80, 8 Hf 3.88-4.07
Sb  0.7500  0.2500  0.5000  4 Hf 2.94
Sb  0.0000  0.0000  0.0000  4 Hf 2.94

6.
This record from the Alexandria database describes a geometry-optimized Rb6HfSb4 structure. The functional is PBE.

Properties
SG = P6_3mc
Calculated volume = 48.412 A^3/atom
Calculated total energy = -3.32 eV/atom
D(E_F) = 7.57 states/eV/f.u.

a = 9.1451 Å, b = 11.5966 Å, c = 11.5965 Å
α = 120.00°, β = 90.00°, γ = 90.00°
With the nearest neighbours (Å) after each atom.
Fractional coordinates of all 22 atoms:
Rb  0.4541  0.1433  0.2867  4 Sb 3.72-3.82
Rb  0.9541  0.8567  0.7133  4 Sb 3.72-3.82
Rb  0.9541  0.2867  0.1433  4 Sb 3.72-3.82
Rb  0.6374  0.5306  0.4694  5 Sb 3.83-3.97, 1 Hf 4.09, 2 Rb 4.24
Rb  0.4541  0.7133  0.8567  4 Sb 3.72-3.82
Rb  0.9541  0.8567  0.1433  4 Sb 3.72-3.82
Rb  0.1374  0.0611  0.5306  5 Sb 3.83-3.97, 1 Hf 4.09, 2 Rb 4.24
Rb  0.1374  0.4694  0.9389  5 Sb 3.83-3.97, 1 Hf 4.09, 2 Rb 4.24
Rb  0.1374  0.4694  0.5306  5 Sb 3.83-3.97, 1 Hf 4.09, 2 Rb 4.24
Rb  0.6374  0.5306  0.0611  5 Sb 3.83-3.97, 1 Hf 4.09, 2 Rb 4.24
Rb  0.4541  0.1433  0.8567  4 Sb 3.72-3.82
Rb  0.6374  0.9389  0.4694  5 Sb 3.83-3.97, 1 Hf 4.09, 2 Rb 4.24
Hf  0.7503  0.3333  0.6667  4 Sb 2.80-2.81
Hf  0.2503  0.6667  0.3333  4 Sb 2.80-2.81
Sb  0.3411  0.8004  0.1996  1 Hf 2.81
Sb  0.8411  0.1996  0.8004  1 Hf 2.81
Sb  0.3411  0.3993  0.1996  1 Hf 2.81
Sb  0.4445  0.3333  0.6667  1 Hf 2.80
Sb  0.8411  0.6007  0.8004  1 Hf 2.81
Sb  0.9445  0.6667  0.3333  1 Hf 2.80
Sb  0.3411  0.8004  0.6007  1 Hf 2.81
Sb  0.8411  0.1996  0.3993  1 Hf 2.81

7.
This record from the Alexandria database describes a geometry-optimized RbHf2Sb structure. The functional is PBE.

Properties
SG = Fm-3m
Calculated volume = 24.235 A^3/atom
Calculated total energy = -5.46 eV/atom
D(E_F) = 0.30 states/eV/f.u.

a = 5.1563 Å, b = 5.1563 Å, c = 5.1563 Å
α = 60.00°, β = 60.00°, γ = 60.00°
With the nearest neighbours (Å) after each atom.
Fractional coordinates of all 4 atoms:
Hf  0.7500  0.7500  0.7500  4 Sb 3.16, 4 Rb 3.16
Hf  0.2500  0.2500  0.2500  4 Sb 3.16, 4 Rb 3.16
Sb  0.5000  0.5000  0.5000  8 Hf 3.16
Rb  0.0000  0.0000  0.0000  8 Hf 3.16

8.
This record from the Alexandria database describes a geometry-optimized RbHfSb structure. The functional is PBE.

Properties
SG = R-3m
Calculated volume = 41.603 A^3/atom
Calculated total energy = -5.18 eV/atom
D(E_F) = 1.42 states/eV/f.u.

a = 4.6022 Å, b = 4.6022 Å, c = 13.8654 Å
α = 80.45°, β = 80.45°, γ = 60.00°
With the nearest neighbours (Å) after each atom.
Fractional coordinates of all 6 atoms:
Hf  0.6889  0.6889  0.9332  4 Sb 2.90-2.97, 3 Hf 3.22
Hf  0.3111  0.3111  0.0668  4 Sb 2.90-2.97, 3 Hf 3.22
Sb  0.6162  0.6162  0.1515  4 Hf 2.90-2.97
Sb  0.3838  0.3838  0.8485  4 Hf 2.90-2.97
Rb  0.1120  0.1120  0.6640  3 Sb 3.66
Rb  0.8880  0.8880  0.3360  3 Sb 3.66

What is the calculated total energy in the fourth record?
-2.44 eV/atom

Which of these has the lowest calculated total energy?
Rb3HfZr3S8

The lowest D(E_F) belongs to which entry?
number 7